## one
{"formula": "VRuI2", "functional": "PBE", "state": "relaxed", "spacegroup": "Fm-3m, No. 225", "dos_ef_per_ev_cell": 2.4, "cell": [[0.107, -4.497, 1.888], [-2.389, -0.963, 4.143], [-4.010, -2.777, -0.086]], "species": ["V", "I", "Ru", "I"], "fractional_positions": [[0.000, 0.000, 0.000], [0.750, 0.750, 0.750], [0.500, 0.500, 0.500], [0.250, 0.250, 0.250]]}

=====

## two
{"formula": "VRuI2", "functional": "PBE", "state": "relaxed", "spacegroup": "I-42d, No. 122", "dos_ef_per_ev_cell": 5.9, "cell": [[6.092, 0.000, 0.000], [0.000, 6.092, 0.000], [3.046, 3.046, 6.298]], "species": ["V", "I", "V", "I", "Ru", "Ru", "I", "I"], "fractional_positions": [[0.250, 0.750, 0.500], [0.875, 0.879, 0.750], [0.500, 0.500, 0.000], [0.121, 0.625, 0.250], [0.000, 0.000, 0.000], [0.750, 0.250, 0.500], [0.375, 0.371, 0.750], [0.629, 0.125, 0.250]]}

=====

Short version: one is the least stable of them.

=====

## one
{"formula": "V2RuI2", "functional": "PBE", "state": "relaxed", "spacegroup": "I4/mmm, No. 139", "dos_ef_per_ev_cell": 7.3, "cell": [[3.486, 0.000, 0.000], [0.000, 3.486, 0.000], [1.743, 1.743, 8.239]], "species": ["V", "I", "Ru", "I", "V"], "fractional_positions": [[0.750, 0.250, 0.500], [0.385, 0.385, 0.231], [0.000, 0.000, 0.000], [0.615, 0.615, 0.769], [0.250, 0.750, 0.500]]}

=====

## two
{"formula": "V2RuI2", "functional": "PBE", "state": "relaxed", "spacegroup": "P4/mbm, No. 127", "dos_ef_per_ev_cell": 12.4, "cell": [[7.477, 0.000, 0.000], [0.000, 7.477, 0.000], [0.000, 0.000, 3.371]], "species": ["V", "V", "V", "V", "I", "Ru", "I", "Ru", "I", "I"], "fractional_positions": [[0.144, 0.644, 0.500], [0.356, 0.144, 0.500], [0.644, 0.856, 0.500], [0.856, 0.356, 0.500], [0.160, 0.340, 0.000], [0.500, 0.500, 0.000], [0.840, 0.660, 0.000], [0.000, 0.000, 0.000], [0.660, 0.160, 0.000], [0.340, 0.840, 0.000]]}

=====

Short version: two is the least stable of them.

=====

## one
{"formula": "VRu2I", "functional": "PBE", "state": "relaxed", "spacegroup": "I-42d, No. 122", "dos_ef_per_ev_cell": 4.2, "cell": [[5.433, 0.000, 0.000], [0.000, 5.433, 0.000], [2.716, 2.716, 6.023]], "species": ["Ru", "Ru", "V", "V", "I", "I", "Ru", "Ru"], "fractional_positions": [[0.375, 0.429, 0.750], [0.179, 0.625, 0.250], [0.250, 0.750, 0.500], [0.500, 0.500, 0.000], [0.000, 0.000, 0.000], [0.750, 0.250, 0.500], [0.875, 0.821, 0.750], [0.571, 0.125, 0.250]]}

=====

## two
{"formula": "VRu2I", "functional": "PBE", "state": "relaxed", "spacegroup": "Fm-3m, No. 225", "dos_ef_per_ev_cell": 5.9, "cell": [[0.000, 3.192, 3.192], [3.192, 0.000, 3.192], [3.192, 3.192, 0.000]], "species": ["V", "I", "Ru", "Ru"], "fractional_positions": [[0.000, 0.000, 0.000], [0.500, 0.500, 0.500], [0.750, 0.750, 0.750], [0.250, 0.250, 0.250]]}

=====

Short version: one is the least stable of them.

=====

## one
{"formula": "RuWI2", "functional": "PBE", "state": "relaxed", "spacegroup": "Fm-3m, No. 225", "dos_ef_per_ev_cell": 4.0, "cell": [[0.000, 3.383, 3.383], [3.383, 0.000, 3.383], [3.383, 3.383, 0.000]], "species": ["Ru", "W", "I", "I"], "fractional_positions": [[0.000, 0.000, 0.000], [0.500, 0.500, 0.500], [0.250, 0.250, 0.250], [0.750, 0.750, 0.750]]}

=====

## two
{"formula": "RuWI2", "functional": "PBE", "state": "relaxed", "spacegroup": "I-42d, No. 122", "dos_ef_per_ev_cell": 6.1, "cell": [[6.045, 0.000, 0.000], [0.000, 6.045, 0.000], [3.022, 3.022, 5.891]], "species": ["Ru", "W", "W", "I", "Ru", "I", "I", "I"], "fractional_positions": [[0.250, 0.750, 0.500], [0.750, 0.250, 0.500], [0.000, 0.000, 0.000], [0.875, 0.869, 0.750], [0.500, 0.500, 0.000], [0.375, 0.381, 0.750], [0.131, 0.625, 0.250], [0.619, 0.125, 0.250]]}

=====

Short version: two is the least stable of them.

=====

## one
{"formula": "RuW2I", "functional": "PBE", "state": "relaxed", "spacegroup": "I-42d, No. 122", "dos_ef_per_ev_cell": 7.8, "cell": [[-5.602, 1.368, -1.191], [-1.231, -0.027, 5.758], [-2.101, 6.324, 2.591]], "species": ["W", "W", "Ru", "W", "I", "Ru", "W", "I"], "fractional_positions": [[0.875, 0.834, 0.750], [0.375, 0.416, 0.750], [0.250, 0.750, 0.500], [0.584, 0.125, 0.250], [0.750, 0.250, 0.500], [0.500, 0.500, 0.000], [0.166, 0.625, 0.250], [0.000, 0.000, 0.000]]}

=====

## two
{"formula": "RuW2I", "functional": "PBE", "state": "relaxed", "spacegroup": "Fm-3m, No. 225", "dos_ef_per_ev_cell": 2.5, "cell": [[3.286, -2.726, 1.627], [-0.964, -3.036, 3.276], [-0.049, -4.466, -0.966]], "species": ["W", "W", "I", "Ru"], "fractional_positions": [[0.250, 0.250, 0.250], [0.750, 0.750, 0.750], [0.500, 0.500, 0.500], [0.000, 0.000, 0.000]]}

=====

Short version: one is the least stable of them.

=====

## one
{"formula": "Ru2WI", "functional": "PBE", "state": "relaxed", "spacegroup": "I-42d, No. 122", "dos_ef_per_ev_cell": 6.9, "cell": [[5.856, 0.000, 0.000], [0.000, 5.856, 0.000], [2.928, 2.928, 5.632]], "species": ["Ru", "Ru", "Ru", "I", "W", "W", "I", "Ru"], "fractional_positions": [[0.875, 0.904, 0.750], [0.654, 0.125, 0.250], [0.096, 0.625, 0.250], [0.500, 0.500, 0.000], [0.750, 0.250, 0.500], [0.000, 0.000, 0.000], [0.250, 0.750, 0.500], [0.375, 0.346, 0.750]]}

=====

## two
{"formula": "Ru2WI", "functional": "PBE", "state": "relaxed", "spacegroup": "Fm-3m, No. 225", "dos_ef_per_ev_cell": 4.2, "cell": [[0.000, 3.245, 3.245], [3.245, 0.000, 3.245], [3.245, 3.245, 0.000]], "species": ["Ru", "I", "Ru", "W"], "fractional_positions": [[0.750, 0.750, 0.750], [0.000, 0.000, 0.000], [0.250, 0.250, 0.250], [0.500, 0.500, 0.500]]}

=====

Short version: two is the least stable of them.

=====

## one
{"formula": "YRuI2", "functional": "PBE", "state": "relaxed", "spacegroup": "I-42d, No. 122", "dos_ef_per_ev_cell": 3.2, "cell": [[5.161, 0.000, 0.000], [0.000, 5.161, 0.000], [2.581, 2.581, 8.682]], "species": ["Ru", "I", "I", "Ru", "Y", "Y", "I", "I"], "fractional_positions": [[0.000, 0.000, 0.000], [0.875, 0.912, 0.750], [0.088, 0.625, 0.250], [0.750, 0.250, 0.500], [0.500, 0.500, 0.000], [0.250, 0.750, 0.500], [0.375, 0.338, 0.750], [0.662, 0.125, 0.250]]}

=====

## two
{"formula": "YRuI2", "functional": "PBE", "state": "relaxed", "spacegroup": "Fm-3m, No. 225", "dos_ef_per_ev_cell": 4.1, "cell": [[0.000, 3.640, 3.640], [3.640, 0.000, 3.640], [3.640, 3.640, 0.000]], "species": ["I", "Ru", "Y", "I"], "fractional_positions": [[0.750, 0.750, 0.750], [0.500, 0.500, 0.500], [0.000, 0.000, 0.000], [0.250, 0.250, 0.250]]}

=====

Short version: two is the least stable of them.

=====

## one
{"formula": "YRu2I", "functional": "PBE", "state": "relaxed", "spacegroup": "Fm-3m, No. 225", "dos_ef_per_ev_cell": 3.4, "cell": [[-0.912, 1.942, 4.246], [-1.354, 4.551, 0.292], [-4.472, 1.078, 1.211]], "species": ["Y", "Ru", "I", "Ru"], "fractional_positions": [[0.000, 0.000, 0.000], [0.250, 0.250, 0.250], [0.500, 0.500, 0.500], [0.750, 0.750, 0.750]]}

=====

## two
{"formula": "YRu2I", "functional": "PBE", "state": "relaxed", "spacegroup": "I-42d, No. 122", "dos_ef_per_ev_cell": 12.8, "cell": [[-2.357, -0.694, 7.107], [1.820, -7.296, -0.109], [2.495, -3.320, 4.481]], "species": ["I", "Ru", "Ru", "Y", "Ru", "Y", "Ru", "I"], "fractional_positions": [[0.000, 0.000, 0.000], [0.669, 0.125, 0.250], [0.375, 0.331, 0.750], [0.250, 0.750, 0.500], [0.081, 0.625, 0.250], [0.500, 0.500, 0.000], [0.875, 0.919, 0.750], [0.750, 0.250, 0.500]]}

=====

Short version: two is the least stable of them.

=====

## one
{"formula": "Y4RuI5", "functional": "PBE", "state": "relaxed", "spacegroup": "P4_2/nnm, No. 134", "dos_ef_per_ev_cell": 15.9, "cell": [[-9.650, 5.832, -5.218], [4.399, -2.810, -11.275], [-9.526, -15.607, 0.174]], "species": ["Y", "Y", "Y", "I", "I", "Y", "Y", "Y", "Ru", "I", "I", "I", "Ru", "Y", "Y", "Ru", "I", "Y", "Y", "I", "I", "I", "I", "Y", "Y", "Y", "I", "I", "I", "Y", "I", "I", "Y", "I", "Y", "I", "I", "Ru", "I", "I", "I", "Y", "Y", "I", "Y", "Y", "I", "Ru", "Y", "Ru", "I", "I", "I", "Y", "Y", "I", "I", "I", "I", "Y", "Y", "Ru", "I", "Ru", "Y", "I", "I", "Y", "I", "I", "Y", "Y", "I", "Y", "I", "I", "I", "Y", "I", "Y"], "fractional_positions": [[0.820, 0.385, 0.425], [0.623, 0.377, 0.585], [0.680, 0.115, 0.075], [0.605, 0.873, 0.089], [0.862, 0.138, 0.410], [0.320, 0.885, 0.075], [0.377, 0.377, 0.415], [0.113, 0.113, 0.781], [0.604, 0.396, 0.430], [0.638, 0.638, 0.910], [0.370, 0.630, 0.762], [0.627, 0.105, 0.589], [0.896, 0.896, 0.930], [0.180, 0.615, 0.425], [0.887, 0.113, 0.219], [0.896, 0.104, 0.070], [0.127, 0.395, 0.089], [0.377, 0.623, 0.585], [0.877, 0.123, 0.915], [0.362, 0.362, 0.910], [0.895, 0.373, 0.589], [0.873, 0.605, 0.089], [0.105, 0.627, 0.589], [0.113, 0.887, 0.219], [0.877, 0.877, 0.085], [0.180, 0.385, 0.575], [0.870, 0.370, 0.250], [0.395, 0.127, 0.089], [0.630, 0.630, 0.238], [0.680, 0.885, 0.925], [0.873, 0.395, 0.911], [0.138, 0.138, 0.590], [0.123, 0.877, 0.915], [0.895, 0.627, 0.411], [0.885, 0.680, 0.925], [0.130, 0.870, 0.738], [0.870, 0.630, 0.750], [0.604, 0.604, 0.570], [0.862, 0.862, 0.590], [0.105, 0.373, 0.411], [0.373, 0.105, 0.411], [0.613, 0.387, 0.281], [0.115, 0.680, 0.075], [0.130, 0.630, 0.250], [0.613, 0.613, 0.719], [0.115, 0.320, 0.925], [0.627, 0.895, 0.411], [0.104, 0.896, 0.070], [0.615, 0.180, 0.425], [0.396, 0.396, 0.570], [0.630, 0.370, 0.762], [0.130, 0.130, 0.262], [0.138, 0.862, 0.410], [0.385, 0.820, 0.425], [0.885, 0.320, 0.075], [0.370, 0.370, 0.238], [0.362, 0.638, 0.090], [0.370, 0.870, 0.250], [0.127, 0.605, 0.911], [0.320, 0.115, 0.925], [0.387, 0.613, 0.281], [0.104, 0.104, 0.930], [0.373, 0.895, 0.589], [0.396, 0.604, 0.430], [0.123, 0.123, 0.085], [0.870, 0.130, 0.738], [0.870, 0.870, 0.262], [0.387, 0.387, 0.719], [0.605, 0.127, 0.911], [0.630, 0.130, 0.250], [0.887, 0.887, 0.781], [0.615, 0.820, 0.575], [0.370, 0.130, 0.750], [0.623, 0.623, 0.415], [0.630, 0.870, 0.750], [0.130, 0.370, 0.750], [0.638, 0.362, 0.090], [0.385, 0.180, 0.575], [0.395, 0.873, 0.911], [0.820, 0.615, 0.575]]}

=====

## two
{"formula": "Y4RuI5", "functional": "PBE", "state": "relaxed", "spacegroup": "C2/m, No. 12", "dos_ef_per_ev_cell": 5.9, "cell": [[-0.990, -4.004, 0.234], [7.736, -1.655, 4.424], [-5.735, 3.960, 7.026]], "species": ["Y", "I", "Y", "Ru", "I", "I", "I", "Y", "Y", "I"], "fractional_positions": [[0.361, 0.929, 0.723], [0.832, 0.661, 0.664], [0.639, 0.071, 0.277], [0.500, 0.000, 0.000], [0.825, 0.166, 0.649], [0.168, 0.339, 0.336], [0.500, 0.500, 0.000], [0.000, 0.207, 0.000], [0.000, 0.793, 0.000], [0.175, 0.834, 0.351]]}

=====

Short version: two is the least stable of them.

=====

## one
{"formula": "Zn2RuI", "functional": "PBE", "state": "relaxed", "spacegroup": "I-42d, No. 122", "dos_ef_per_ev_cell": 5.4, "cell": [[6.370, 0.000, 0.000], [0.000, 6.370, 0.000], [3.185, 3.185, 5.660]], "species": ["Ru", "Zn", "Zn", "Ru", "Zn", "I", "I", "Zn"], "fractional_positions": [[0.250, 0.750, 0.500], [0.875, 0.817, 0.750], [0.567, 0.125, 0.250], [0.500, 0.500, 0.000], [0.375, 0.433, 0.750], [0.000, 0.000, 0.000], [0.750, 0.250, 0.500], [0.183, 0.625, 0.250]]}

=====

## two
{"formula": "Zn2RuI", "functional": "PBE", "state": "relaxed", "spacegroup": "Fm-3m, No. 225", "dos_ef_per_ev_cell": 3.7, "cell": [[-0.985, -2.353, 3.924], [-4.453, -0.853, 1.162], [-1.689, -4.358, -0.246]], "species": ["Zn", "Zn", "I", "Ru"], "fractional_positions": [[0.250, 0.250, 0.250], [0.750, 0.750, 0.750], [0.500, 0.500, 0.500], [0.000, 0.000, 0.000]]}

=====

Short version: two is the least stable of them.

=====

## one
{"formula": "ZnRu3I", "functional": "PBE", "state": "relaxed", "spacegroup": "Pm-3m, No. 221", "dos_ef_per_ev_cell": 8.1, "cell": [[4.789, 0.000, 0.000], [0.000, 4.789, 0.000], [0.000, 0.000, 4.789]], "species": ["Zn", "Ru", "Ru", "I", "Ru"], "fractional_positions": [[0.500, 0.500, 0.500], [0.000, 0.500, 0.000], [0.500, 0.000, 0.000], [0.000, 0.000, 0.000], [0.000, 0.000, 0.500]]}

=====

## two
{"formula": "ZnRu3I", "functional": "PBE", "state": "relaxed", "spacegroup": "Pm-3m, No. 221", "dos_ef_per_ev_cell": 6.1, "cell": [[-3.878, 2.227, -1.019], [-1.767, -1.223, 4.052], [1.696, 3.818, 1.892]], "species": ["Ru", "Zn", "Ru", "Ru", "I"], "fractional_positions": [[0.000, 0.000, 0.500], [0.000, 0.000, 0.000], [0.500, 0.000, 0.000], [0.000, 0.500, 0.000], [0.500, 0.500, 0.500]]}

=====

Short version: one is the least stable of them.